Material: Tb3Er4Cd
Method: DFT, PBE-GGA
State: optimized geometry

Summary:
**Crystal system**: tetragonal
**Energy of formation from the pure elements**: -0.06 eV per atom
**Final energy**: -4.20 eV per atom
**Relative energy among the computed polymorphs**: 0 kJ/mol of formula units
**Space group**: P4/mmm (123)
**DOS at the Fermi energy**: 1.2772 states/eV/atom

Cell and atoms, written as extended XYZ:
```
8
Lattice="3.5367 0.0000 0.0000 0.0000 3.5367 0.0000 0.0000 0.0000 19.1018" Properties=species:S:1:pos:R:3 pbc="T T T"
Cd 1.7683 1.7683 0.0000
Tb 1.7683 1.7683 4.5535
Tb 1.7683 1.7683 9.5509
Tb 1.7683 1.7683 14.5483
Er 0.0000 0.0000 17.0307
Er 0.0000 0.0000 2.0711
Er 0.0000 0.0000 7.0474
Er 0.0000 0.0000 12.0544
```

***

Material: Ce3Sm2Hg7
Method: DFT, PBE-GGA
State: optimized geometry

Summary:
**Crystal system**: orthorhombic
**Energy of formation from the pure elements**: -0.22 eV per atom
**Final energy**: -2.67 eV per atom
**Space group**: Cmmm (65)
**DOS at the Fermi energy**: 2.5320 states/eV/atom

Cell and atoms, written as extended XYZ:
```
12
Lattice="-3.0110 -4.2266 -2.0685 4.2955 -1.9326 -2.3036 0.1735 -5.4328 10.8486" Properties=species:S:1:pos:R:3 pbc="T T T"
Ce 0.6423 -3.0796 -2.1860
Ce 1.4281 -5.2460 1.0967
Ce 0.0299 -6.3461 5.3798
Sm 3.8121 -5.5546 5.8010
Sm 0.6569 -1.8108 2.7440
Hg 1.9797 -5.4576 8.2701
Hg 3.1897 -3.8387 3.2008
Hg 0.0000 0.0000 0.0000
Hg 2.4893 -1.9078 0.2749
Hg -1.1182 -3.1809 0.5835
Hg 2.5762 -8.4111 5.8930
Hg 1.2793 -3.5267 5.3442
```

***

Material: LiCr2Tc
Method: DFT, PBE-GGA
State: optimized geometry

Summary:
**Crystal system**: orthorhombic
**Energy of formation from the pure elements**: 0.38 eV per atom
**Final energy**: -7.50 eV per atom
**Space group**: Pmm2 (25)
**DOS at the Fermi energy**: 0.7490 states/eV/atom

Cell and atoms, written as extended XYZ:
```
4
Lattice="2.4141 0.0000 0.0000 0.0000 4.1634 0.0000 0.0000 0.0000 5.0315" Properties=species:S:1:pos:R:3 pbc="T T T"
Cr 0.0000 0.0000 0.0198
Cr 1.2070 2.0817 1.2884
Li 0.0000 0.0000 2.4988
Tc 1.2070 2.0817 3.7403
```

***

Material: AlFeIr3
Method: DFT, PBE-GGA
State: optimized geometry

Summary:
**Crystal system**: cubic
**Energy of formation from the pure elements**: 1.46 eV per atom
**Final energy**: -6.29 eV per atom
**Relative energy among the computed polymorphs**: 121 kJ/mol of formula units
**Space group**: Pm-3m (221)
**DOS at the Fermi energy**: 2.5357 states/eV/atom

Cell and atoms, written as extended XYZ:
```
5
Lattice="4.4079 0.0000 0.0000 0.0000 4.4079 0.0000 0.0000 0.0000 4.4079" Properties=species:S:1:pos:R:3 pbc="T T T"
Ir 0.0000 2.2039 0.0000
Ir 0.0000 0.0000 2.2039
Ir 2.2039 0.0000 0.0000
Fe 2.2039 2.2039 2.2039
Al 0.0000 0.0000 0.0000
```

***

Material: Mo3PRu
Method: DFT, PBE-GGA
State: optimized geometry

Summary:
**Crystal system**: cubic
**Energy of formation from the pure elements**: 0.75 eV per atom
**Final energy**: -8.69 eV per atom
**Relative energy among the computed polymorphs**: 428 kJ/mol of formula units
**Space group**: Pm-3m (221)
**DOS at the Fermi energy**: 1.5727 states/eV/atom

Cell and atoms, written as extended XYZ:
```
5
Lattice="4.3947 0.0000 0.0000 0.0000 4.3947 0.0000 0.0000 0.0000 4.3947" Properties=species:S:1:pos:R:3 pbc="T T T"
Ru 2.1974 2.1974 2.1974
Mo 0.0000 2.1974 0.0000
Mo 0.0000 0.0000 2.1974
Mo 2.1974 0.0000 0.0000
P 0.0000 0.0000 0.0000
```

***

Material: In2Sb
Method: DFT, PBE-GGA
State: optimized geometry

Summary:
**Crystal system**: cubic
**Final energy**: -3.13 eV per atom
**Energy relative to the elements, uncorrected**: 0.0685 eV/atom
**Space group**: Fm-3m (225)
**DOS at the Fermi energy**: 0.7452 states/eV/atom

Cell and atoms, written as extended XYZ:
```
3
Lattice="-3.3828 2.9974 2.6218 -5.0458 0.0460 -1.3562 -3.5648 -2.2004 3.1228" Properties=species:S:1:pos:R:3 pbc="T T T"
In -8.9950 0.6322 3.2913
In -2.9983 0.2107 1.0971
Sb 0.0000 0.0000 0.0000
```